LaSc2In | the Alexandria database | GGA-PBE | optimized geometry; formation energy from the elements = -13.5 kJ/mol of atoms
1.0
-2.3897 2.3897 4.6377
2.3897 -2.3897 4.6377
2.3897 2.3897 -4.6377
La Sc In
1 2 1
Direct
0.0000 0.0000 0.0000 La
0.2500 0.7500 0.5000 Sc
0.7500 0.2500 0.5000 Sc
0.5000 0.5000 0.0000 In